1.
{"formula": "Y2BrCl", "functional": "PBE", "state": "relaxed", "lattice_angstrom": [[-7.395, 0.206, 5.758], [-5.487, -2.381, 7.219], [-4.783, 0.989, 8.002]], "species": ["Y", "Y", "Br", "Cl"], "frac_coords": [[0.003, 0.003, 0.003], [0.497, 0.497, 0.497], [0.250, 0.250, 0.250], [0.750, 0.750, 0.750]], "e_form_raw_ev_per_atom": -1.08, "density_g_cm3": 4.9, "total_magnetization_mub_per_cell": 0.00}

***

2.
{"formula": "K2VAuS", "functional": "PBE", "state": "relaxed", "lattice_angstrom": [[5.939, 0.000, 0.000], [0.000, 5.122, 0.000], [0.000, 0.000, 5.939]], "species": ["K", "K", "Au", "S", "V"], "frac_coords": [[0.000, 0.000, 0.500], [0.500, 0.000, 0.000], [0.000, 0.000, 0.000], [0.500, 0.500, 0.500], [0.000, 0.500, 0.000]], "e_form_raw_ev_per_atom": 0.41, "density_g_cm3": 3.3, "total_magnetization_mub_per_cell": 3.89}

***

3.
{"formula": "Tb2ZnNi2Pt5", "functional": "PBE", "state": "relaxed", "lattice_angstrom": [[-2.836, 2.510, -1.094], [-3.342, -6.316, -5.825], [-5.463, -3.262, 6.672]], "species": ["Tb", "Tb", "Tb", "Tb", "Zn", "Zn", "Ni", "Ni", "Ni", "Ni", "Pt", "Pt", "Pt", "Pt", "Pt", "Pt", "Pt", "Pt", "Pt", "Pt"], "frac_coords": [[0.000, 0.675, 0.175], [0.000, 0.325, 0.825], [0.000, 0.175, 0.325], [0.000, 0.825, 0.675], [0.000, 0.000, 0.000], [0.000, 0.500, 0.500], [0.000, 0.123, 0.623], [0.000, 0.877, 0.377], [0.000, 0.623, 0.877], [0.000, 0.377, 0.123], [0.500, 0.205, 0.068], [0.500, 0.795, 0.932], [0.500, 0.068, 0.795], [0.500, 0.705, 0.432], [0.500, 0.932, 0.205], [0.500, 0.295, 0.568], [0.500, 0.568, 0.705], [0.500, 0.432, 0.295], [0.500, 0.500, 0.000], [0.500, 0.000, 0.500]], "density_g_cm3": 14.6, "total_magnetization_mub_per_cell": 0.00, "delta_e_f_kj_per_mol_fu": -776}

***

4.
{"formula": "CrPAu", "functional": "PBE", "state": "relaxed", "lattice_angstrom": [[5.382, -0.010, 0.000], [3.683, 3.925, 0.000], [-4.533, -1.957, 2.143]], "species": ["Au", "Cr", "P"], "frac_coords": [[0.997, 0.997, 0.000], [0.298, 0.298, 0.000], [0.705, 0.705, 0.000]], "density_g_cm3": 10.3, "total_magnetization_mub_per_cell": 1.91, "delta_e_f_kj_per_mol_fu": 20}

***

5.
{"formula": "Pr4Nd3NpN8", "functional": "PBE", "state": "relaxed", "lattice_angstrom": [[-7.077, -0.953, -1.321], [1.621, -4.773, -5.240], [2.602, -0.960, 6.712]], "species": ["Pr", "Pr", "Pr", "Pr", "Nd", "Nd", "Nd", "Np", "N", "N", "N", "N", "N", "N", "N", "N"], "frac_coords": [[0.500, 0.000, 0.000], [0.500, 0.000, 0.500], [0.000, 0.000, 0.000], [0.000, 0.000, 0.500], [0.500, 0.500, 0.000], [0.500, 0.500, 0.500], [0.000, 0.500, 0.500], [0.000, 0.500, 0.000], [0.230, 0.728, 0.998], [0.230, 0.728, 0.460], [0.251, 0.253, 0.502], [0.768, 0.728, 0.998], [0.232, 0.272, 0.002], [0.749, 0.747, 0.498], [0.770, 0.272, 0.540], [0.770, 0.272, 0.002]], "e_form_raw_ev_per_atom": -1.30, "density_g_cm3": 8.2, "total_magnetization_mub_per_cell": 3.00}

***

6.
{"formula": "Tb2In2Cu15", "functional": "PBE", "state": "relaxed", "lattice_angstrom": [[6.618, -0.018, -0.016], [0.841, 6.564, -0.016], [0.841, 0.738, 6.522]], "species": ["Tb", "Tb", "In", "In", "Cu", "Cu", "Cu", "Cu", "Cu", "Cu", "Cu", "Cu", "Cu", "Cu", "Cu", "Cu", "Cu", "Cu", "Cu"], "frac_coords": [[0.356, 0.356, 0.356], [0.644, 0.644, 0.644], [0.109, 0.109, 0.109], [0.891, 0.891, 0.891], [0.500, 0.000, 0.000], [0.000, 0.000, 0.500], [0.000, 0.500, 0.000], [0.000, 0.693, 0.307], [0.693, 0.307, 0.000], [0.307, 0.000, 0.693], [0.307, 0.693, 0.000], [0.693, 0.000, 0.307], [0.000, 0.307, 0.693], [0.161, 0.649, 0.649], [0.649, 0.649, 0.161], [0.649, 0.161, 0.649], [0.839, 0.351, 0.351], [0.351, 0.351, 0.839], [0.351, 0.839, 0.351]], "density_g_cm3": 8.8, "total_magnetization_mub_per_cell": 0.00, "delta_e_f_kj_per_mol_fu": -196}